(1)
# Th4Te5Pt PBE relaxed
data_Th4Te5Pt
_chemical_formula_sum 'Th4 Te5 Pt1'
_cell_length_a 4.304
_cell_length_b 8.801
_cell_length_c 10.006
_cell_angle_alpha 103.52
_cell_angle_beta 102.42
_cell_angle_gamma 90.00
_space_group_name_H-M_alt 'P 1'
_space_group_IT_number 1
_space_group_name_Hall 'P 1'
loop_
_atom_site_label
_atom_site_fract_x
_atom_site_fract_y
_atom_site_fract_z
Te1 0.500 0.500 0.000
Te2 0.830 0.168 0.660
Te3 0.170 0.832 0.340
Te4 0.167 0.352 0.333
Te5 0.833 0.648 0.667
Pt1 0.500 0.000 0.000
Th1 0.338 0.903 0.676
Th2 0.000 0.226 0.000
Th3 0.000 0.774 0.000
Th4 0.662 0.097 0.324
# Formation energy without anion corrections, eV per atom: -1.135
# E, eV per atom: -6.278
# Calculated density, g cm⁻³: 8.14


(2)
# ThTePt4 PBE relaxed
data_ThTePt4
_chemical_formula_sum 'Th1 Te1 Pt4'
_cell_length_a 5.497
_cell_length_b 5.497
_cell_length_c 5.497
_cell_angle_alpha 60.00
_cell_angle_beta 60.00
_cell_angle_gamma 60.00
_space_group_name_H-M_alt 'P 1'
_space_group_IT_number 1
_space_group_name_Hall 'P 1'
loop_
_atom_site_label
_atom_site_fract_x
_atom_site_fract_y
_atom_site_fract_z
Pt1 0.625 0.625 0.625
Pt2 0.125 0.625 0.625
Pt3 0.625 0.625 0.125
Pt4 0.625 0.125 0.625
Th1 0.250 0.250 0.250
Te1 0.000 0.000 0.000
# Formation energy without anion corrections, eV per atom: -0.708
# E, eV per atom: -6.496
# Calculated density, g cm⁻³: 16.12


(3)
# Th3TePt PBE relaxed
data_Th3TePt
_chemical_formula_sum 'Th6 Te2 Pt2'
_cell_length_a 5.433
_cell_length_b 6.869
_cell_length_c 10.111
_cell_angle_alpha 119.37
_cell_angle_beta 90.00
_cell_angle_gamma 90.00
_space_group_name_H-M_alt 'P 1'
_space_group_IT_number 1
_space_group_name_Hall 'P 1'
loop_
_atom_site_label
_atom_site_fract_x
_atom_site_fract_y
_atom_site_fract_z
Th1 0.250 0.556 0.887
Th2 0.750 0.975 0.105
Th3 0.250 0.854 0.293
Th4 0.250 0.025 0.895
Th5 0.750 0.146 0.707
Th6 0.750 0.444 0.113
Pt1 0.750 0.901 0.377
Pt2 0.250 0.099 0.623
Te1 0.750 0.674 0.734
Te2 0.250 0.326 0.266
# Formation energy without anion corrections, eV per atom: -0.536
# E, eV per atom: -6.824
# Calculated density, g cm⁻³: 10.29


(4)
# Th2TePt2 PBE relaxed
data_Th2TePt2
_chemical_formula_sum 'Th4 Te2 Pt4'
_cell_length_a 3.857
_cell_length_b 8.007
_cell_length_c 8.007
_cell_angle_alpha 90.00
_cell_angle_beta 90.00
_cell_angle_gamma 90.00
_space_group_name_H-M_alt 'P 1'
_space_group_IT_number 1
_space_group_name_Hall 'P 1'
loop_
_atom_site_label
_atom_site_fract_x
_atom_site_fract_y
_atom_site_fract_z
Pt1 0.000 0.127 0.373
Pt2 0.000 0.873 0.627
Pt3 0.000 0.627 0.127
Pt4 0.000 0.373 0.873
Th1 0.500 0.671 0.829
Th2 0.500 0.329 0.171
Th3 0.500 0.829 0.329
Th4 0.500 0.171 0.671
Te1 0.000 0.500 0.500
Te2 0.000 0.000 0.000
# Formation energy without anion corrections, eV per atom: -1.182
# E, eV per atom: -7.194
# Calculated density, g cm⁻³: 13.19


(5)
# Th3Te2Pt PBE relaxed
data_Th3Te2Pt
_chemical_formula_sum 'Th6 Te4 Pt2'
_cell_length_a 7.616
_cell_length_b 7.616
_cell_length_c 7.783
_cell_angle_alpha 99.43
_cell_angle_beta 99.43
_cell_angle_gamma 119.86
_space_group_name_H-M_alt 'P 1'
_space_group_IT_number 1
_space_group_name_Hall 'P 1'
loop_
_atom_site_label
_atom_site_fract_x
_atom_site_fract_y
_atom_site_fract_z
Th1 0.044 0.378 0.213
Th2 0.768 0.740 0.220
Th3 0.260 0.232 0.780
Th4 0.899 0.593 0.780
Th5 0.622 0.956 0.787
Th6 0.407 0.101 0.220
Te1 0.179 0.821 0.500
Te2 0.833 0.167 0.500
Te3 0.488 0.512 0.500
Te4 0.333 0.667 0.000
Pt1 0.665 0.335 0.000
Pt2 0.001 0.999 0.000
# Formation energy without anion corrections, eV per atom: -1.146
# E, eV per atom: -6.909
# Calculated density, g cm⁻³: 10.29


(6)
# Th2TePt PBE relaxed
data_Th2TePt
_chemical_formula_sum 'Th2 Te1 Pt1'
_cell_length_a 3.615
_cell_length_b 3.615
_cell_length_c 7.984
_cell_angle_alpha 90.00
_cell_angle_beta 90.00
_cell_angle_gamma 90.00
_space_group_name_H-M_alt 'P 1'
_space_group_IT_number 1
_space_group_name_Hall 'P 1'
loop_
_atom_site_label
_atom_site_fract_x
_atom_site_fract_y
_atom_site_fract_z
Pt1 0.500 0.500 0.000
Th1 0.000 0.000 0.231
Th2 0.000 0.000 0.769
Te1 0.500 0.500 0.500
# Formation energy without anion corrections, eV per atom: -0.972
# E, eV per atom: -6.977
# Calculated density, g cm⁻³: 12.52


(7)
# TmTh2Te2Pt2 PBE relaxed
data_TmTh2Te2Pt2
_chemical_formula_sum 'Tm1 Th2 Te2 Pt2'
_cell_length_a 5.112
_cell_length_b 5.112
_cell_length_c 8.750
_cell_angle_alpha 106.99
_cell_angle_beta 106.99
_cell_angle_gamma 90.00
_space_group_name_H-M_alt 'P 1'
_space_group_IT_number 1
_space_group_name_Hall 'P 1'
loop_
_atom_site_label
_atom_site_fract_x
_atom_site_fract_y
_atom_site_fract_z
Pt1 0.500 0.000 0.000
Pt2 0.000 0.500 0.000
Th1 0.614 0.614 0.228
Th2 0.386 0.386 0.772
Te1 0.186 0.186 0.373
Te2 0.814 0.814 0.627
Tm1 0.000 0.000 0.000
# Formation energy without anion corrections, eV per atom: -0.891
# E, eV per atom: -6.273
# Calculated density, g cm⁻³: 10.19


(8)
# TiTePt3 PBE relaxed
data_TiTePt3
_chemical_formula_sum 'Ti1 Te1 Pt3'
_cell_length_a 4.914
_cell_length_b 4.914
_cell_length_c 4.914
_cell_angle_alpha 90.00
_cell_angle_beta 90.00
_cell_angle_gamma 90.00
_space_group_name_H-M_alt 'P 1'
_space_group_IT_number 1
_space_group_name_Hall 'P 1'
loop_
_atom_site_label
_atom_site_fract_x
_atom_site_fract_y
_atom_site_fract_z
Ti1 0.500 0.500 0.500
Pt1 0.000 0.000 0.500
Pt2 0.500 0.000 0.000
Pt3 0.000 0.500 0.000
Te1 0.000 0.000 0.000
# Formation energy without anion corrections, eV per atom: 0.785
# E, eV per atom: -5.047
# Calculated density, g cm⁻³: 10.65